1.
LaAl2Re PBE relaxed; energy = -0.43299 Ry per atom; energy above the lowest structure with this stoichiometry = 0.496 eV/atom; space-group type = No. 160; formation energy = 1.30 eV/f.u.
1.0
2.9856 0.0000 0.0000
-1.4928 2.5856 0.0000
0.0000 0.0000 29.9097
La Al Re
3 6 3
Direct
0.0000 0.0000 0.0000
0.3333 0.6667 0.6667
0.6667 0.3333 0.3333
0.0000 0.0000 0.5065
0.0000 0.0000 0.7638
0.3333 0.6667 0.1732
0.3333 0.6667 0.4305
0.6667 0.3333 0.0972
0.6667 0.3333 0.8398
0.0000 0.0000 0.2404
0.3333 0.6667 0.9071
0.6667 0.3333 0.5737

=====

2.
NdCoAs2 PBE relaxed; energy = -0.44771 Ry per atom; space-group type = No. 119; formation energy = -3.19 eV/f.u.
1.0
4.0490 0.0000 0.0000
0.0000 4.0490 0.0000
0.0000 0.0000 9.7459
Nd Co As
2 2 4
Direct
0.0000 0.0000 0.0000
0.5000 0.5000 0.5000
0.0000 0.5000 0.7500
0.5000 0.0000 0.2500
0.0000 0.0000 0.3602
0.0000 0.0000 0.6398
0.5000 0.5000 0.1398
0.5000 0.5000 0.8602

=====

3.
NaBrCl3 PBE relaxed; energy = -0.15008 Ry per atom; energy above the lowest structure with this stoichiometry = 0.092 eV/atom; space-group type = No. 160; energy relative to the elements, uncorrected = -0.34 eV per atom
1.0
7.6682 0.0000 0.0000
-3.8341 6.6409 0.0000
0.0000 0.0000 10.7626
Na Br Cl
3 3 9
Direct
0.0000 0.0000 0.0000
0.3333 0.6667 0.6667
0.6667 0.3333 0.3333
0.0000 0.0000 0.3258
0.3333 0.6667 0.9925
0.6667 0.3333 0.6592
0.1701 0.3403 0.8434
0.1701 0.8299 0.8434
0.3264 0.1632 0.1767
0.5035 0.0070 0.5101
0.5035 0.4965 0.5101
0.6597 0.8299 0.8434
0.8368 0.1632 0.1767
0.8368 0.6736 0.1767
0.9930 0.4965 0.5101

=====

4.
VFeS PBE relaxed; energy = -0.52480 Ry per atom; energy above the lowest structure with this stoichiometry = 0.406 eV/atom; space-group type = No. 107; energy relative to the elements, uncorrected = 0.10 eV per atom
1.0
2.9646 0.0000 0.0000
0.0000 2.9646 0.0000
0.0000 0.0000 10.9080
V Fe S
2 2 2
Direct
0.0000 0.0000 0.0000
0.5000 0.5000 0.5000
0.0000 0.0000 0.1892
0.5000 0.5000 0.6892
0.0000 0.0000 0.4042
0.5000 0.5000 0.9042